No. 1
CaAl4Rh | PBE-GGA | optimized geometry

Summary:
Electronic total energy in eV for the cell shown: -25.3
Mass density in g/cm3: 3.88
ΔH_f (0 K) in eV/f.u.: -0.97

Cell lengths 5.333, 5.333, 5.333 Å; angles 60.00, 60.00, 60.00 degrees
Atoms (fractional coordinates):
1 Ca 0.000 0.000 0.000
2 Al 0.375 0.375 0.375
3 Al 0.375 0.375 0.876
4 Al 0.375 0.876 0.375
5 Al 0.876 0.375 0.375
6 Rh 0.750 0.750 0.750

***

No. 2
Ca3AlRh | PBE-GGA | optimized geometry

Summary:
Energy above the most stable polymorph in this dataset in eV per atom: 0.0000
Electronic total energy in eV for the cell shown: -17.4
Mass density in g/cm3: 2.61
ΔH_f (0 K) in eV/f.u.: -0.28

Cell lengths 5.418, 5.418, 5.418 Å; angles 90.00, 90.00, 90.00 degrees
Atoms (fractional coordinates):
1 Ca 0.000 0.000 0.500
2 Ca 0.000 0.500 0.000
3 Ca 0.500 0.000 0.000
4 Al 0.500 0.500 0.500
5 Rh 0.000 0.000 0.000

***

No. 3
CaAlRh2 | PBE-GGA | optimized geometry

Summary:
Electronic total energy in eV for the cell shown: -21.1
Mass density in g/cm3: 6.62
ΔH_f (0 K) in eV/f.u.: -0.66

Cell lengths 4.592, 4.592, 4.592 Å; angles 60.00, 60.00, 60.00 degrees
Atoms (fractional coordinates):
1 Ca 0.000 0.000 0.000
2 Al 0.750 0.750 0.750
3 Rh 0.250 0.250 0.250
4 Rh 0.500 0.500 0.500

***

No. 4
CaAl2Rh2 | PBE-GGA | optimized geometry

Summary:
Electronic total energy in eV for the cell shown: -28.0
Mass density in g/cm3: 5.32
ΔH_f (0 K) in eV/f.u.: -3.81

Cell lengths 5.824, 5.824, 5.824 Å; angles 136.15, 136.15, 63.76 degrees
Atoms (fractional coordinates):
1 Ca 0.000 0.000 0.000
2 Al 0.362 0.362 0.000
3 Al 0.638 0.638 0.000
4 Rh 0.250 0.750 0.500
5 Rh 0.750 0.250 0.500

***

No. 5
Ca2AlRh | PBE-GGA | optimized geometry

Summary:
Electronic total energy in eV for the cell shown: -15.9
Mass density in g/cm3: 4.16
ΔH_f (0 K) in eV/f.u.: -0.80

Cell lengths 4.928, 4.928, 4.928 Å; angles 120.59, 120.59, 88.99 degrees
Atoms (fractional coordinates):
1 Ca 0.000 0.000 0.000
2 Ca 0.750 0.250 0.500
3 Al 0.500 0.500 0.000
4 Rh 0.250 0.750 0.500

***

No. 6
CaAlRh2 | PBE-GGA | optimized geometry

Summary:
Electronic total energy in eV for the cell shown: -23.1
Mass density in g/cm3: 6.84
ΔH_f (0 K) in eV/f.u.: -2.65

Cell lengths 3.137, 3.127, 6.758 Å; angles 90.00, 90.08, 90.00 degrees
Atoms (fractional coordinates):
1 Ca 0.000 0.000 0.000
2 Al 0.000 0.000 0.500
3 Rh 0.500 0.500 0.293
4 Rh 0.500 0.500 0.707

***

No. 7
CaAlRh4 | PBE-GGA | optimized geometry

Summary:
Electronic total energy in eV for the cell shown: -36.8
Mass density in g/cm3: 7.91
ΔH_f (0 K) in eV/f.u.: -1.63

Cell lengths 5.219, 5.219, 5.219 Å; angles 60.00, 60.00, 60.00 degrees
Atoms (fractional coordinates):
1 Ca 0.000 0.000 0.000
2 Al 0.250 0.250 0.250
3 Rh 0.127 0.624 0.624
4 Rh 0.624 0.127 0.624
5 Rh 0.624 0.624 0.127
6 Rh 0.624 0.624 0.624

***

No. 8
CaAl4Rh | PBE-GGA | optimized geometry

Summary:
Electronic total energy in eV for the cell shown: -52.4
Mass density in g/cm3: 3.29
ΔH_f (0 K) in eV/f.u.: -1.89

Cell lengths 7.892, 7.889, 6.221 Å; angles 66.81, 66.75, 46.44 degrees
Atoms (fractional coordinates):
1 Ca 0.000 0.000 0.500
2 Ca 0.500 0.500 0.000
3 Al 0.017 0.322 0.678
4 Al 0.177 0.484 0.823
5 Al 0.322 0.017 0.983
6 Al 0.484 0.177 0.516
7 Al 0.516 0.823 0.484
8 Al 0.678 0.983 0.017
9 Al 0.823 0.516 0.177
10 Al 0.983 0.678 0.322
11 Rh 0.250 0.250 0.250
12 Rh 0.750 0.750 0.750

***

No. 9
Ca2AlRh | PBE-GGA | optimized geometry

Summary:
Electronic total energy in eV for the cell shown: -15.2
Mass density in g/cm3: 3.62
ΔH_f (0 K) in eV/f.u.: -0.15

Cell lengths 9.495, 9.495, 9.495 Å; angles 21.00, 21.00, 21.00 degrees
Atoms (fractional coordinates):
1 Ca 0.239 0.239 0.239
2 Ca 0.761 0.761 0.761
3 Al 0.000 0.000 0.000
4 Rh 0.500 0.500 0.500

***

No. 10
Ca2Al6Rh | PBE-GGA | optimized geometry

Summary:
Electronic total energy in eV for the cell shown: -37.6
Mass density in g/cm3: 3.26
ΔH_f (0 K) in eV/f.u.: -3.79

Cell lengths 5.820, 5.820, 5.990 Å; angles 90.00, 90.00, 120.00 degrees
Atoms (fractional coordinates):
1 Ca 0.333 0.667 0.362
2 Ca 0.667 0.333 0.638
3 Al 0.168 0.337 0.823
4 Al 0.168 0.832 0.823
5 Al 0.337 0.168 0.177
6 Al 0.663 0.832 0.823
7 Al 0.832 0.168 0.177
8 Al 0.832 0.663 0.177
9 Rh 0.000 0.000 0.500

***

No. 11
CaAl2Rh | PBE-GGA | optimized geometry

Summary:
Electronic total energy in eV for the cell shown: -35.4
Mass density in g/cm3: 3.13
ΔH_f (0 K) in eV/f.u.: -0.85

Cell lengths 8.713, 8.713, 8.713 Å; angles 145.73, 145.73, 49.25 degrees
Atoms (fractional coordinates):
1 Ca 0.000 0.000 0.000
2 Ca 0.750 0.250 0.500
3 Al 0.372 0.625 0.247
4 Al 0.375 0.622 0.747
5 Al 0.378 0.125 0.753
6 Al 0.875 0.628 0.253
7 Rh 0.250 0.750 0.500
8 Rh 0.500 0.500 0.000

***

No. 12
CaAl2Rh | PBE-GGA | optimized geometry

Summary:
Electronic total energy in eV for the cell shown: -156.9
Mass density in g/cm3: 4.19
ΔH_f (0 K) in eV/f.u.: -2.78

Cell lengths 15.239, 7.180, 5.700 Å; angles 90.00, 90.00, 90.00 degrees
Atoms (fractional coordinates):
1 Ca 0.100 0.250 0.223
2 Ca 0.132 0.750 0.024
3 Ca 0.368 0.250 0.524
4 Ca 0.400 0.750 0.723
5 Ca 0.600 0.250 0.277
6 Ca 0.632 0.750 0.476
7 Ca 0.868 0.250 0.976
8 Ca 0.900 0.750 0.777
9 Al 0.047 0.062 0.707
10 Al 0.047 0.438 0.707
11 Al 0.212 0.552 0.539
12 Al 0.212 0.948 0.539
13 Al 0.288 0.052 0.039
14 Al 0.288 0.448 0.039
15 Al 0.453 0.562 0.207
16 Al 0.453 0.938 0.207
17 Al 0.547 0.062 0.793
18 Al 0.547 0.438 0.793
19 Al 0.712 0.552 0.961
20 Al 0.712 0.948 0.961
21 Al 0.788 0.052 0.461
22 Al 0.788 0.448 0.461
23 Al 0.953 0.562 0.293
24 Al 0.953 0.938 0.293
25 Rh 0.073 0.750 0.503
26 Rh 0.193 0.250 0.768
27 Rh 0.307 0.750 0.268
28 Rh 0.427 0.250 0.003
29 Rh 0.573 0.750 0.997
30 Rh 0.693 0.250 0.732
31 Rh 0.807 0.750 0.232
32 Rh 0.927 0.250 0.497